This record from Alexandria via LeMat-Bulk describes a geometry-optimized Cr2Sn structure. The functional is GGA-PBE.

Unit cell a=5.009 b=5.009 c=5.009 alpha=60.00 beta=60.00 gamma=60.00
Element x y z (fractional)
Cr: 0.000 0.000 0.000
Cr: 0.000 0.000 0.500
Cr: 0.000 0.500 0.000
Cr: 0.500 0.000 0.000
Sn: 0.375 0.375 0.375
Sn: 0.625 0.625 0.625

Results
Spin magnetization (μB/f.u.): 0.00
DFT formation energy (eV/atom): 0.37
N(E_F) (states/eV/f.u.): 3.584
VASP energy (eV per atom): -7.381

This record from Alexandria via LeMat-Bulk describes a geometry-optimized SrCr3Sn structure. The functional is GGA-PBE.

Unit cell a=5.296 b=5.296 c=5.296 alpha=90.00 beta=90.00 gamma=90.00
Element x y z (fractional)
Sr: 0.000 0.000 0.000
Cr: 0.000 0.500 0.500
Cr: 0.500 0.000 0.500
Cr: 0.500 0.500 0.000
Sn: 0.500 0.500 0.500

Results
Spin magnetization (μB/f.u.): 13.89
DFT formation energy (eV/atom): 0.95
Relative energy among the computed polymorphs (eV per atom): 0.000
N(E_F) (states/eV/f.u.): 2.967
VASP energy (eV per atom): -5.958

This record from Alexandria via LeMat-Bulk describes a geometry-optimized SrCr3Sn structure. The functional is GGA-PBE.

Unit cell a=5.464 b=5.464 c=5.464 alpha=90.00 beta=90.00 gamma=90.00
Element x y z (fractional)
Sr: 0.000 0.000 0.000
Cr: 0.000 0.000 0.500
Cr: 0.000 0.500 0.000
Cr: 0.500 0.000 0.000
Sn: 0.500 0.500 0.500

Results
Spin magnetization (μB/f.u.): 14.16
DFT formation energy (eV/atom): 2.09
Relative energy among the computed polymorphs (eV per atom): 1.137
N(E_F) (states/eV/f.u.): 5.002
VASP energy (eV per atom): -4.821

This record from Alexandria via LeMat-Bulk describes a geometry-optimized Sr3CrSn structure. The functional is GGA-PBE.

Unit cell a=5.624 b=5.624 c=5.624 alpha=90.00 beta=90.00 gamma=90.00
Element x y z (fractional)
Sr: 0.000 0.000 0.500
Sr: 0.000 0.500 0.000
Sr: 0.500 0.000 0.000
Cr: 0.000 0.000 0.000
Sn: 0.500 0.500 0.500

Results
Spin magnetization (μB/f.u.): 0.00
DFT formation energy (eV/atom): 0.71
Relative energy among the computed polymorphs (eV per atom): 0.000
N(E_F) (states/eV/f.u.): 9.031
VASP energy (eV per atom): -3.023

This record from Alexandria via LeMat-Bulk describes a geometry-optimized SrCrSnTe2 structure. The functional is GGA-PBE.

Unit cell a=6.096 b=6.096 c=6.028 alpha=90.00 beta=90.00 gamma=90.00
Element x y z (fractional)
Sr: 0.000 0.000 0.000
Cr: 0.500 0.500 0.500
Sn: 0.000 0.000 0.500
Te: 0.000 0.500 0.000
Te: 0.500 0.000 0.000

Results
Spin magnetization (μB/f.u.): 4.49
E_form (uncorrected) (eV/f.u.): 3.8
N(E_F) (states/eV/f.u.): 6.199
VASP energy (eV per atom): -3.563

This record from Alexandria via LeMat-Bulk describes a geometry-optimized Sr2ZnCrSn structure. The functional is GGA-PBE.

Unit cell a=6.070 b=6.070 c=5.063 alpha=90.00 beta=90.00 gamma=90.00
Element x y z (fractional)
Sr: 0.000 0.500 0.000
Sr: 0.500 0.000 0.000
Zn: 0.000 0.000 0.500
Cr: 0.500 0.500 0.000
Sn: 0.500 0.500 0.500

Results
Spin magnetization (μB/f.u.): 3.67
DFT formation energy (eV/atom): 0.31
N(E_F) (states/eV/f.u.): 4.325
VASP energy (eV per atom): -3.345

This record from Alexandria via LeMat-Bulk describes a geometry-optimized TaCrSn3 structure. The functional is GGA-PBE.

Unit cell a=5.338 b=5.338 c=5.338 alpha=90.00 beta=90.00 gamma=90.00
Element x y z (fractional)
Ta: 0.000 0.000 0.000
Cr: 0.500 0.500 0.500
Sn: 0.000 0.000 0.500
Sn: 0.000 0.500 0.000
Sn: 0.500 0.000 0.000

Results
Spin magnetization (μB/f.u.): 1.11
DFT formation energy (eV/atom): 1.39
Relative energy among the computed polymorphs (eV per atom): 0.283
N(E_F) (states/eV/f.u.): 14.717
VASP energy (eV per atom): -5.304

This record from Alexandria via LeMat-Bulk describes a geometry-optimized TaCr4Sn structure. The functional is GGA-PBE.

Unit cell a=4.920 b=4.920 c=4.920 alpha=60.00 beta=60.00 gamma=60.00
Element x y z (fractional)
Ta: 0.000 0.000 0.000
Cr: 0.125 0.625 0.625
Cr: 0.625 0.125 0.625
Cr: 0.625 0.625 0.125
Cr: 0.625 0.625 0.625
Sn: 0.250 0.250 0.250

Results
Spin magnetization (μB/f.u.): 0.00
DFT formation energy (eV/atom): 0.03
N(E_F) (states/eV/f.u.): 2.470
VASP energy (eV per atom): -9.031